Entry 1:
TaInAu2 | PBE | optimized geometry

Cell and atoms, written as POSCAR:
```
TaInAu2
1.0
3.0840 0.0000 0.0000
0.0000 3.0840 0.0000
0.0000 0.0000 7.9566
Au Ta In
2 1 1
Direct
0.0000 0.0000 0.2633
0.0000 0.0000 0.7367
0.5000 0.5000 0.5000
0.5000 0.5000 0.0000
```

- Energy of formation: -0.0495 eV per atom

***

Entry 2:
Sc2FeP | PBE | optimized geometry

Cell and atoms, written as POSCAR:
```
Sc2FeP
1.0
-0.9397 -5.7298 -0.0302
2.5078 -3.9952 3.3857
-2.9810 4.9714 -0.3353
Sc P Fe
2 1 1
Direct
0.2697 0.7697 0.5000
0.0053 0.0053 0.0000
0.6884 0.1884 0.5000
0.5366 0.5366 0.0000
```

- Energy of formation: -0.5839 eV per atom

***

Entry 3:
Sc8Al4Fe | PBE | optimized geometry

Cell and atoms, written as POSCAR:
```
Sc8Al4Fe
1.0
-7.4002 1.3484 0.3922
4.7537 -1.9074 -5.5225
0.1683 -6.4455 3.8937
Sc Al Fe
8 4 1
Direct
0.5000 0.7106 0.2106
0.5000 0.2894 0.7894
0.0000 0.3239 0.3239
0.0000 0.6761 0.6761
0.3239 0.0000 0.3239
0.2894 0.5000 0.7894
0.7106 0.5000 0.2106
0.6761 0.0000 0.6761
0.0000 0.5000 0.0000
0.0000 0.0000 0.5000
0.5000 0.5000 0.5000
0.5000 0.0000 0.0000
0.0000 0.0000 0.0000
```

- Energy of formation: -0.0391 eV per atom

***

Entry 4:
La3HgO | PBE | optimized geometry

Cell and atoms, written as POSCAR:
```
La3HgO
1.0
17.3302 0.0000 3.5233
5.7693 2.6204 -1.7135
-5.7693 2.6204 1.7135
Hg La O
2 6 2
Direct
0.4253 0.9730 0.0270
0.5747 0.0270 0.9730
0.6553 0.1980 0.8020
0.3447 0.8020 0.1980
0.8046 0.3047 0.6953
0.1954 0.6953 0.3047
0.0725 0.5671 0.4329
0.9275 0.4329 0.5671
0.9220 0.9555 0.0445
0.0780 0.0445 0.9555
```

- Polymorph energy (0 for the lowest one): 0.067 eV per atom
- Uncorrected formation energy: -1297.0 meV/atom

***

Entry 5:
Pr3HfAs4 | PBE | optimized geometry

Cell and atoms, written as POSCAR:
```
Pr3HfAs4
1.0
-2.3859 -0.1006 -3.4213
5.6297 -2.4155 -3.8549
-3.6341 -5.6472 2.7002
Hf Pr As
1 3 4
Direct
0.5000 0.0000 0.0000
0.0000 0.5000 0.0000
0.0000 0.0000 0.5000
0.5000 0.5000 0.5000
0.5000 0.7621 0.2379
0.0000 0.7719 0.7719
0.5000 0.2379 0.7621
0.0000 0.2281 0.2281
```

- Energy of formation: -1.3425 eV per atom

***

Entry 6:
Sc3Hg2Au2 | PBE | optimized geometry

Cell and atoms, written as POSCAR:
```
Sc3Hg2Au2
1.0
-2.7615 -0.7096 1.8594
1.8376 -1.9513 1.9844
1.1924 9.9563 8.6859
Hg Sc Au
2 3 2
Direct
0.2965 0.5000 0.4070
0.7035 0.5000 0.5930
0.8688 0.0000 0.2625
0.0000 0.0000 0.0000
0.1312 0.0000 0.7375
0.5645 0.5000 0.8710
0.4355 0.5000 0.1290
```

- Energy of formation: -0.5436 eV per atom

***

Q: Which formula does entry 6 have?
A: Sc3Hg2Au2